PmVBi2O6 after structural relaxation, computed with PBE+U.

Cell: 5.805 5.976 6.017 Å, 60.52 62.07 61.08°
Positions (direct):
Pm: 0.000 0.000 0.000
V: 0.478 0.491 0.543
Bi: 0.286 0.281 0.171
Bi: 0.781 0.773 0.655
O: 0.134 0.368 0.796
O: 0.204 0.823 0.342
O: 0.350 0.672 0.828
O: 0.619 0.212 0.329
O: 0.650 0.154 0.829
O: 0.803 0.632 0.354

As for the energy: -6.8906 eV/atom. The total magnetization is 2.000 μB/f.u.